1.
PrHfSi2O8: optimized geometry, GGA-PBE.

## Properties
Space-group type: I-4m2
DOS(E_F) in states/eV per cell: 8.5
Formation energy (no corrections) in meV/atom: -2889
DFT total energy in eV per atom: -8.326

abc: 5.802 5.802 5.802
angles: 106.40 106.40 115.80
Sites, in units of the cell vectors:
Pr (0.250, 0.750, 0.500)
Hf (0.000, 0.000, 0.000)
Si (0.750, 0.250, 0.500)
Si (0.500, 0.500, 0.000)
O (0.398, 0.089, 0.309)
O (0.316, 0.485, 0.169)
O (0.316, 0.147, 0.831)
O (0.781, 0.089, 0.691)
O (0.853, 0.684, 0.169)
O (0.911, 0.219, 0.309)
O (0.911, 0.602, 0.691)
O (0.515, 0.684, 0.831)

=====

2.
SrPr2HfO6: optimized geometry, GGA-PBE.

## Properties
Space-group type: R3
DOS(E_F) in states/eV per cell: 0.0
Formation energy (no corrections) in meV/atom: -3278
DFT total energy in eV per atom: -8.373

abc: 5.996 5.996 6.204
angles: 61.10 61.10 60.00
Sites, in units of the cell vectors:
Sr (0.803, 0.803, 0.591)
Pr (0.531, 0.531, 0.406)
Pr (0.027, 0.027, 0.918)
Hf (0.316, 0.316, 0.053)
O (0.579, 0.213, 0.242)
O (0.213, 0.966, 0.242)
O (0.966, 0.579, 0.242)
O (0.404, 0.678, 0.774)
O (0.678, 0.144, 0.774)
O (0.144, 0.404, 0.774)

=====

3.
PrHfTeO6: optimized geometry, GGA-PBE.

## Properties
Space-group type: P-31c
DOS(E_F) in states/eV per cell: 10.3
Formation energy (no corrections) in meV/atom: -2449
DFT total energy in eV per atom: -7.740

abc: 5.500 5.500 10.227
angles: 90.00 90.00 120.00
Site moments in Bohr magnetons follow the coordinates.
Sites, in units of the cell vectors:
Pr (0.000, 0.000, 0.000)  0.01
Pr (0.000, 0.000, 0.500)  0.01
Hf (0.333, 0.667, 0.250)  0.02
Hf (0.667, 0.333, 0.750)  0.02
Te (0.667, 0.333, 0.250)  0.07
Te (0.333, 0.667, 0.750)  0.07
O (0.640, 0.636, 0.140)  0.03
O (0.997, 0.360, 0.140)  0.03
O (0.360, 0.997, 0.640)  0.03
O (0.003, 0.640, 0.860)  0.03
O (0.364, 0.360, 0.360)  0.03
O (0.997, 0.636, 0.360)  0.03
O (0.636, 0.997, 0.860)  0.03
O (0.640, 0.003, 0.360)  0.03
O (0.003, 0.364, 0.640)  0.03
O (0.364, 0.003, 0.140)  0.03
O (0.636, 0.640, 0.640)  0.03
O (0.360, 0.364, 0.860)  0.03

=====

4.
PrHfTi2O8: optimized geometry, GGA-PBE.

## Properties
Space-group type: I-4
DOS(E_F) in states/eV per cell: 7.1
Formation energy (no corrections) in meV/atom: -3016
DFT total energy in eV per atom: -8.865

abc: 5.135 5.135 6.621
angles: 112.82 112.82 90.00
Site moments in Bohr magnetons follow the coordinates.
Sites, in units of the cell vectors:
Pr (0.750, 0.250, 0.500)  0.00
Hf (0.000, 0.000, 0.000)  -0.02
Ti (0.500, 0.500, 0.000)  -0.04
Ti (0.250, 0.750, 0.500)  -0.04
O (0.762, 0.839, 0.152)  0.13
O (0.390, 0.313, 0.152)  0.13
O (0.604, 0.695, 0.685)  0.11
O (0.081, 0.990, 0.685)  0.11
O (0.010, 0.396, 0.315)  0.11
O (0.305, 0.919, 0.315)  0.11
O (0.161, 0.610, 0.848)  0.13
O (0.687, 0.238, 0.848)  0.13